Below is crystalline YScOs2 at its relaxed geometry, with properties calculated at the PBE level.

```
data_YScOs2
_symmetry_space_group_name_H-M 'P 1'
_symmetry_Int_Tables_number 1
_symmetry_space_group_name_Hall 'P 1'
_cell_length_a 5.737
_cell_length_b 5.737
_cell_length_c 4.680
_cell_angle_alpha 113.88
_cell_angle_beta 113.88
_cell_angle_gamma 32.36
loop_
_atom_site_label
_atom_site_type_symbol
_atom_site_fract_x
_atom_site_fract_y
_atom_site_fract_z
Y1 Y 0.000 0.000 0.000
Sc1 Sc 0.778 0.778 0.277
Os1 Os 0.240 0.240 0.737
Os2 Os 0.528 0.528 0.529
```

Results
Size of the total moment in μB per formula unit: 0.00
E in eV/atom: -8.917
Crystal system: monoclinic
D(E_F) in states/eV/f.u.: 1.54

---

Below is crystalline YScOs2 at its relaxed geometry, with properties calculated at the PBE level.

```
data_YScOs2
_symmetry_space_group_name_H-M 'P 1'
_symmetry_Int_Tables_number 1
_symmetry_space_group_name_Hall 'P 1'
_cell_length_a 2.994
_cell_length_b 2.994
_cell_length_c 8.809
_cell_angle_alpha 90.00
_cell_angle_beta 90.00
_cell_angle_gamma 90.00
loop_
_atom_site_label
_atom_site_type_symbol
_atom_site_fract_x
_atom_site_fract_y
_atom_site_fract_z
Y1 Y 0.000 0.000 0.000
Sc1 Sc 0.500 0.500 0.652
Os1 Os 0.000 0.000 0.429
Os2 Os 0.500 0.500 0.251
```

Results
Size of the total moment in μB per formula unit: 0.00
E in eV/atom: -8.794
Crystal system: tetragonal
D(E_F) in states/eV/f.u.: 3.14

---

Below is crystalline YScOs2 at its relaxed geometry, with properties calculated at the PBE level.

```
data_YScOs2
_symmetry_space_group_name_H-M 'P 1'
_symmetry_Int_Tables_number 1
_symmetry_space_group_name_Hall 'P 1'
_cell_length_a 5.308
_cell_length_b 5.308
_cell_length_c 5.308
_cell_angle_alpha 143.52
_cell_angle_beta 124.15
_cell_angle_gamma 68.56
loop_
_atom_site_label
_atom_site_type_symbol
_atom_site_fract_x
_atom_site_fract_y
_atom_site_fract_z
Y1 Y 0.000 0.000 0.000
Sc1 Sc 0.500 0.500 0.000
Os1 Os 0.256 0.756 0.500
Os2 Os 0.744 0.244 0.500
```

Results
Size of the total moment in μB per formula unit: 0.00
E in eV/atom: -8.689
Crystal system: orthorhombic
D(E_F) in states/eV/f.u.: 3.28

---

Below is crystalline YSc2Os at its relaxed geometry, with properties calculated at the PBE level.

```
data_YSc2Os
_symmetry_space_group_name_H-M 'P 1'
_symmetry_Int_Tables_number 1
_symmetry_space_group_name_Hall 'P 1'
_cell_length_a 4.902
_cell_length_b 4.902
_cell_length_c 4.902
_cell_angle_alpha 119.90
_cell_angle_beta 119.90
_cell_angle_gamma 90.17
loop_
_atom_site_label
_atom_site_type_symbol
_atom_site_fract_x
_atom_site_fract_y
_atom_site_fract_z
Y1 Y 0.000 0.000 0.000
Sc1 Sc 0.250 0.750 0.500
Sc2 Sc 0.500 0.500 0.000
Os1 Os 0.750 0.250 0.500
```

Results
Size of the total moment in μB per formula unit: 0.00
E in eV/atom: -7.637
Crystal system: tetragonal
D(E_F) in states/eV/f.u.: 3.62

---

Below is crystalline YSc2Os at its relaxed geometry, with properties calculated at the PBE level.

```
data_YSc2Os
_symmetry_space_group_name_H-M 'P 1'
_symmetry_Int_Tables_number 1
_symmetry_space_group_name_Hall 'P 1'
_cell_length_a 4.215
_cell_length_b 4.215
_cell_length_c 4.769
_cell_angle_alpha 90.00
_cell_angle_beta 90.00
_cell_angle_gamma 90.00
loop_
_atom_site_label
_atom_site_type_symbol
_atom_site_fract_x
_atom_site_fract_y
_atom_site_fract_z
Y1 Y 0.000 0.000 0.000
Sc1 Sc 0.000 0.500 0.500
Sc2 Sc 0.500 0.000 0.500
Os1 Os 0.500 0.500 0.000
```

Results
Size of the total moment in μB per formula unit: 0.00
E in eV/atom: -7.573
Crystal system: tetragonal
D(E_F) in states/eV/f.u.: 4.26

---

Below is crystalline Y2ScOs2 at its relaxed geometry, with properties calculated at the PBE level.

```
data_Y2ScOs2
_symmetry_space_group_name_H-M 'P 1'
_symmetry_Int_Tables_number 1
_symmetry_space_group_name_Hall 'P 1'
_cell_length_a 5.676
_cell_length_b 5.676
_cell_length_c 4.291
_cell_angle_alpha 112.13
_cell_angle_beta 112.13
_cell_angle_gamma 62.66
loop_
_atom_site_label
_atom_site_type_symbol
_atom_site_fract_x
_atom_site_fract_y
_atom_site_fract_z
Y1 Y 0.206 0.206 0.207
Y2 Y 0.794 0.794 0.793
Sc1 Sc 0.500 0.500 0.000
Os1 Os 0.212 0.788 0.500
Os2 Os 0.788 0.212 0.500
```

Results
Size of the total moment in μB per formula unit: 0.00
E in eV/atom: -8.615
Crystal system: monoclinic
D(E_F) in states/eV/f.u.: 4.23

---

Question: The highest D(E_F) belongs to which entry?
Answer: number 5

---

Question: Look up the E of the fifth one.
Answer: -7.573 eV/atom